P:
{
  "formula": "KLiAl2",
  "functional": "GGA-PBE",
  "state": "optimized geometry",
  "cell": [[4.255, 0.000, 0.000], [0.000, 4.255, 0.000], [0.000, 0.000, 5.347]],
  "species": ["K", "Li", "Al", "Al"],
  "fractional_positions": [[0.000, 0.000, 0.000], [0.500, 0.500, 0.000], [0.000, 0.500, 0.500], [0.500, 0.000, 0.500]],
  "crystal_system": "tetragonal",
  "volume_a3_per_cell": 96.8,
  "magmom_total_mub_per_cell": 0.0,
  "mass_density_g_cm3": 1.72
}

***

Q:
{
  "formula": "KLiAl2",
  "functional": "GGA-PBE",
  "state": "optimized geometry",
  "cell": [[4.332, 0.000, 0.000], [0.000, 4.332, 0.000], [0.000, 0.000, 10.498]],
  "species": ["K", "K", "Li", "Li", "Al", "Al", "Al", "Al"],
  "fractional_positions": [[0.000, 0.000, 0.000], [0.500, 0.500, 0.500], [0.000, 0.000, 0.500], [0.500, 0.500, 0.000], [0.000, 0.500, 0.250], [0.000, 0.500, 0.750], [0.500, 0.000, 0.250], [0.500, 0.000, 0.750]],
  "crystal_system": "tetragonal",
  "volume_a3_per_cell": 197.0,
  "magmom_total_mub_per_cell": 0.0,
  "mass_density_g_cm3": 1.69
}

***

Short version: Q is the least stable of them.

***

P:
{
  "formula": "KLiAl2",
  "functional": "GGA-PBE",
  "state": "optimized geometry",
  "cell": [[5.841, 0.000, 0.000], [0.000, 10.817, 0.000], [0.000, 0.000, 3.036]],
  "species": ["K", "K", "Li", "Li", "Al", "Al", "Al", "Al"],
  "fractional_positions": [[0.000, 0.000, 0.000], [0.500, 0.500, 0.000], [0.000, 0.500, 0.000], [0.500, 0.000, 0.000], [0.250, 0.250, 0.500], [0.250, 0.750, 0.500], [0.750, 0.250, 0.500], [0.750, 0.750, 0.500]],
  "crystal_system": "orthorhombic",
  "volume_a3_per_cell": 191.8,
  "magmom_total_mub_per_cell": 0.0,
  "mass_density_g_cm3": 1.73
}

***

Q:
{
  "formula": "KLiAl2",
  "functional": "GGA-PBE",
  "state": "optimized geometry",
  "cell": [[9.538, 0.000, 0.000], [0.000, 2.990, 0.000], [-0.648, 0.000, 7.435]],
  "species": ["K", "K", "Li", "Li", "Al", "Al", "Al", "Al"],
  "fractional_positions": [[0.000, 0.000, 0.000], [0.500, 0.500, 0.000], [0.000, 0.500, 0.500], [0.500, 0.000, 0.500], [0.241, 0.000, 0.648], [0.259, 0.500, 0.352], [0.741, 0.500, 0.648], [0.759, 0.000, 0.352]],
  "crystal_system": "monoclinic",
  "volume_a3_per_cell": 212.0,
  "magmom_total_mub_per_cell": 0.0,
  "mass_density_g_cm3": 1.57
}

***

Short version: P is the least stable of them.

***

P:
{
  "formula": "KLiAl2",
  "functional": "GGA-PBE",
  "state": "optimized geometry",
  "cell": [[3.435, 0.000, 0.000], [0.000, 3.435, 0.000], [0.000, 0.000, 8.465]],
  "species": ["K", "Li", "Al", "Al"],
  "fractional_positions": [[0.000, 0.000, 0.000], [0.500, 0.500, 0.352], [0.000, 0.000, 0.523], [0.500, 0.500, 0.694]],
  "crystal_system": "tetragonal",
  "volume_a3_per_cell": 99.9,
  "magmom_total_mub_per_cell": 0.0,
  "mass_density_g_cm3": 1.66
}

***

Q:
{
  "formula": "KLiAl2",
  "functional": "GGA-PBE",
  "state": "optimized geometry",
  "cell": [[5.782, 0.000, 0.000], [0.000, 5.782, 0.000], [0.000, 0.000, 3.092]],
  "species": ["K", "Li", "Al", "Al"],
  "fractional_positions": [[0.000, 0.000, 0.000], [0.500, 0.500, 0.000], [0.000, 0.500, 0.500], [0.500, 0.000, 0.500]],
  "crystal_system": "tetragonal",
  "volume_a3_per_cell": 103.4,
  "magmom_total_mub_per_cell": 0.0,
  "mass_density_g_cm3": 1.61
}

***

Short version: Q is the least stable of them.

***

P:
{
  "formula": "KLi3Al",
  "functional": "GGA-PBE",
  "state": "optimized geometry",
  "cell": [[5.133, 0.000, 0.000], [0.000, 5.133, 0.000], [0.000, 0.000, 5.133]],
  "species": ["K", "Li", "Li", "Li", "Al"],
  "fractional_positions": [[0.000, 0.000, 0.000], [0.000, 0.000, 0.500], [0.000, 0.500, 0.000], [0.500, 0.000, 0.000], [0.500, 0.500, 0.500]],
  "crystal_system": "cubic",
  "volume_a3_per_cell": 135.3,
  "magmom_total_mub_per_cell": 0.0,
  "mass_density_g_cm3": 1.07
}

***

Q:
{
  "formula": "KLi3Al",
  "functional": "GGA-PBE",
  "state": "optimized geometry",
  "cell": [[5.314, 0.000, 0.000], [0.000, 5.314, 0.000], [0.000, 0.000, 5.314]],
  "species": ["K", "Li", "Li", "Li", "Al"],
  "fractional_positions": [[0.000, 0.000, 0.000], [0.000, 0.500, 0.500], [0.500, 0.000, 0.500], [0.500, 0.500, 0.000], [0.500, 0.500, 0.500]],
  "crystal_system": "cubic",
  "volume_a3_per_cell": 150.0,
  "magmom_total_mub_per_cell": 0.0,
  "mass_density_g_cm3": 0.96
}

***

Short version: P is the least stable of them.

***

P:
{
  "formula": "K2LiAl2",
  "functional": "GGA-PBE",
  "state": "optimized geometry",
  "cell": [[7.437, 0.000, 0.000], [0.000, 7.437, 0.000], [0.000, 0.000, 5.936]],
  "species": ["K", "K", "K", "K", "Li", "Li", "Al", "Al", "Al", "Al"],
  "fractional_positions": [[0.181, 0.319, 0.000], [0.319, 0.819, 0.000], [0.681, 0.181, 0.000], [0.819, 0.681, 0.000], [0.000, 0.000, 0.500], [0.500, 0.500, 0.500], [0.123, 0.623, 0.500], [0.377, 0.123, 0.500], [0.623, 0.877, 0.500], [0.877, 0.377, 0.500]],
  "crystal_system": "tetragonal",
  "volume_a3_per_cell": 328.3,
  "magmom_total_mub_per_cell": 0.0,
  "mass_density_g_cm3": 1.41
}

***

Q:
{
  "formula": "K2LiAl2",
  "functional": "GGA-PBE",
  "state": "optimized geometry",
  "cell": [[4.873, 0.000, 0.000], [0.000, 4.873, 0.000], [0.000, 0.000, 15.529]],
  "species": ["K", "K", "K", "K", "Li", "Li", "Al", "Al", "Al", "Al"],
  "fractional_positions": [[0.000, 0.500, 0.250], [0.000, 0.500, 0.750], [0.500, 0.000, 0.250], [0.500, 0.000, 0.750], [0.000, 0.000, 0.000], [0.500, 0.500, 0.500], [0.000, 0.000, 0.419], [0.000, 0.000, 0.581], [0.500, 0.500, 0.081], [0.500, 0.500, 0.919]],
  "crystal_system": "tetragonal",
  "volume_a3_per_cell": 368.7,
  "magmom_total_mub_per_cell": 0.0,
  "mass_density_g_cm3": 1.25
}

***

Short version: Q is the least stable of them.

***

P:
{
  "formula": "KLiAlO",
  "functional": "GGA-PBE",
  "state": "optimized geometry",
  "cell": [[2.929, 0.000, 0.000], [0.000, 3.446, 0.000], [0.000, 0.000, 16.209]],
  "species": ["K", "K", "Li", "Li", "Al", "Al", "O", "O"],
  "fractional_positions": [[0.000, 0.000, 0.000], [0.000, 0.500, 0.500], [0.500, 0.000, 0.716], [0.500, 0.500, 0.216], [0.000, 0.000, 0.331], [0.000, 0.500, 0.831], [0.500, 0.000, 0.402], [0.500, 0.500, 0.902]],
  "crystal_system": "orthorhombic",
  "volume_a3_per_cell": 163.6,
  "magmom_total_mub_per_cell": 0.0,
  "mass_density_g_cm3": 1.81
}

***

Q:
{
  "formula": "KLiAlO",
  "functional": "GGA-PBE",
  "state": "optimized geometry",
  "cell": [[6.270, 0.000, 0.000], [0.000, 3.468, 0.000], [-2.106, 0.000, 6.660]],
  "species": ["K", "K", "Li", "Li", "Al", "Al", "O", "O"],
  "fractional_positions": [[0.000, 0.000, 0.000], [0.500, 0.500, 0.000], [0.217, 0.000, 0.665], [0.717, 0.500, 0.665], [0.460, 0.000, 0.418], [0.960, 0.500, 0.418], [0.056, 0.500, 0.695], [0.556, 0.000, 0.695]],
  "crystal_system": "monoclinic",
  "volume_a3_per_cell": 144.8,
  "magmom_total_mub_per_cell": 0.0,
  "mass_density_g_cm3": 2.04
}

***

Short version: Q is the least stable of them.